## BaAlTeO6 (PBE-GGA)

Data for a relaxed structure of BaAlTeO6.

Summary:
The value obtained for the uncorrected formation energy is -1.921 eV per atom.

Cell: 5.1912 5.1912 11.6884 Å, 90.00 90.00 120.00°
With the nearest neighbours (Å) after each atom.
Fractional positions:
1 Ba 0.0000 0.0000 0.0000  6 O 2.72
2 Ba 0.0000 0.0000 0.5000  6 O 2.72
3 Al 0.3333 0.6667 0.2500  6 O 1.94
4 Al 0.6667 0.3333 0.7500  6 O 1.94
5 Te 0.3333 0.6667 0.7500  6 O 1.95
6 Te 0.6667 0.3333 0.2500  6 O 1.95
7 O 0.0021 0.3877 0.1567  1 Al 1.94, 1 Te 1.95
8 O 0.0021 0.6144 0.3433  1 Al 1.94, 1 Te 1.95
9 O 0.3856 0.3877 0.3433  1 Al 1.94, 1 Te 1.95
10 O 0.3856 0.9979 0.1567  1 Al 1.94, 1 Te 1.95
11 O 0.3877 0.0021 0.6567  1 Al 1.94, 1 Te 1.95
12 O 0.3877 0.3856 0.8433  1 Al 1.94, 1 Te 1.95
13 O 0.6123 0.6144 0.1567  1 Al 1.94, 1 Te 1.95
14 O 0.6123 0.9979 0.3433  1 Al 1.94, 1 Te 1.95
15 O 0.6144 0.0021 0.8433  1 Al 1.94, 1 Te 1.95
16 O 0.6144 0.6123 0.6567  1 Al 1.94, 1 Te 1.95
17 O 0.9979 0.3856 0.6567  1 Al 1.94, 1 Te 1.95
18 O 0.9979 0.6123 0.8433  1 Al 1.94, 1 Te 1.95

## Ac3SnGe2Pd6 (PBE-GGA)

Data for a relaxed structure of Ac3SnGe2Pd6.

Summary:
As for the formation energy: -826 kJ/mol of formula units.

Cell: 6.0641 6.0641 8.8439 Å, 90.00 90.00 120.00°
With the nearest neighbours (Å) after each atom.
Fractional positions:
1 Ac 0.0000 0.0000 0.0000  6 Pd 3.09
2 Ac 0.3333 0.6667 0.6478  6 Pd 3.11
3 Ac 0.6667 0.3333 0.3522  6 Pd 3.11
4 Sn 0.0000 0.0000 0.5000  6 Pd 2.71
5 Ge 0.3333 0.6667 0.0480  3 Pd 2.60
6 Ge 0.6667 0.3333 0.9520  3 Pd 2.60
7 Pd 0.1781 0.3563 0.2777  1 Ge 2.60, 1 Sn 2.71, 2 Pd 2.82
8 Pd 0.1781 0.8219 0.2777  1 Ge 2.60, 1 Sn 2.71, 2 Pd 2.82
9 Pd 0.3563 0.1781 0.7223  1 Ge 2.60, 1 Sn 2.71, 2 Pd 2.82
10 Pd 0.6437 0.8219 0.2777  1 Ge 2.60, 1 Sn 2.71, 2 Pd 2.82
11 Pd 0.8219 0.1781 0.7223  1 Ge 2.60, 1 Sn 2.71, 2 Pd 2.82
12 Pd 0.8219 0.6437 0.7223  1 Ge 2.60, 1 Sn 2.71, 2 Pd 2.82

| no. | total magnetic moment (μB/f.u.) | electronic total energy (eV/atom) |
| --- | --- | --- |
| 1 | 1.10 | -6.21 |
| 2 | 0.00 | -5.44 |